# As2Pt

A relaxed structure of As2Pt (GGA-PBEsol, the Alexandria database).

Cell lengths 4.4972, 4.4972, 5.8025 Å; angles 90.00, 90.00, 120.00 degrees
Closest atoms and distances in Å follow each position.
Positions (direct):
As (0.0000, 0.0000, 0.0000)  8 As 2.90-2.97, 6 Pt 2.97
As (0.0000, 0.0000, 0.5000)  8 As 2.90-2.97, 6 Pt 2.97
As (0.3333, 0.6667, 0.2500)  5 Pt 2.60-2.90
As (0.6667, 0.3333, 0.7500)  5 Pt 2.60-2.90
Pt (0.3333, 0.6667, 0.7500)  5 As 2.60-2.90
Pt (0.6667, 0.3333, 0.2500)  5 As 2.60-2.90

The magnetic moment is 0.0001 μB/atom. The density of states at the Fermi level is 3.99 states/eV per cell. The calculation puts the energy of formation from the pure elements at 14 kJ per mole of atoms.

# Cs2YTlCl6

A relaxed structure of Cs2YTlCl6 (GGA-PBEsol, the Alexandria database).

Cell lengths 7.9215, 7.9215, 7.9215 Å; angles 60.00, 60.00, 60.00 degrees
Closest atoms and distances in Å follow each position.
Positions (direct):
Cs (0.2500, 0.2500, 0.2500)  12 Cl 3.97
Cs (0.7500, 0.7500, 0.7500)  12 Cl 3.97
Y (0.0000, 0.0000, 0.0000)  6 Cl 2.60
Tl (0.5000, 0.5000, 0.5000)  6 Cl 3.00
Cl (0.2321, 0.2321, 0.7679)  1 Y 2.60
Cl (0.2321, 0.7679, 0.2321)  1 Y 2.60
Cl (0.2321, 0.7679, 0.7679)  1 Y 2.60
Cl (0.7679, 0.2321, 0.2321)  1 Y 2.60
Cl (0.7679, 0.2321, 0.7679)  1 Y 2.60
Cl (0.7679, 0.7679, 0.2321)  1 Y 2.60

The magnetic moment is 0.0000 μB/atom. The density of states at the Fermi level is 0.00 states/eV per cell. As for the uncorrected formation energy: -1.930 eV/atom.

Q: What is the magnetic moment in the second record?
A: 0.0000 μB/atom